No. 1
This record from OQMD describes a relaxed InAg3MoSe4 crystal. The functional is GGA-PBE.

a = 6.347 Å, b = 6.347 Å, c = 6.347 Å
α = 90.00°, β = 90.00°, γ = 90.00°
Space group P-43m (No. 215)
Unique sites:
In 0.000 0.000 0.000 [1 per cell]
Ag 0.000 0.500 0.500 [3 per cell]
Mo 0.500 0.500 0.500 [1 per cell]
Se 0.274 0.274 0.274 [4 per cell]

---

No. 2
This record from OQMD describes a relaxed RbPaTl crystal. The functional is GGA-PBE.

a = 7.831 Å, b = 7.831 Å, c = 7.831 Å
α = 90.00°, β = 90.00°, γ = 90.00°
Space group F-43m (No. 216)
Unique sites:
Rb 0.000 0.000 0.000 [4 per cell]
Pa 0.000 0.000 0.500 [4 per cell]
Tl 0.250 0.250 0.750 [4 per cell]

---

No. 3
This record from OQMD describes a relaxed RbYPdSe3 crystal. The functional is GGA-PBE.

a = 15.587 Å, b = 4.159 Å, c = 10.928 Å
α = 90.00°, β = 90.00°, γ = 90.00°
Space group Pnma (No. 62)
Unique sites:
Rb 0.235 0.250 0.038 [4 per cell]
Y 0.025 0.250 0.345 [4 per cell]
Pd 0.011 0.750 0.095 [4 per cell]
Se 0.077 0.750 0.886 [4 per cell]
Se 0.094 0.250 0.583 [4 per cell]
Se 0.135 0.750 0.255 [4 per cell]

---

no.,total magnetic moment (μB per formula unit),E (eV per cell)
1,2.00,-37.046
2,1.66,-37.340
3,0.64,-120.102